DFT (PBE-GGA) results for Pm9Sm4Cd11 after structural relaxation.

## Properties
ΔE_f	-0.25	eV per atom
total energy	-3.235	eV/atom

Unit cell a=3.631 b=14.142 c=14.142 alpha=110.54 beta=90.00 gamma=90.00
Positions (direct):
Pm (0.500, 0.618, 0.153)
Pm (0.500, 0.382, 0.847)
Pm (0.500, 0.153, 0.618)
Pm (0.500, 0.847, 0.382)
Pm (0.500, 0.793, 0.977)
Pm (0.500, 0.207, 0.023)
Pm (0.500, 0.977, 0.793)
Pm (0.500, 0.023, 0.207)
Pm (0.500, 0.500, 0.500)
Sm (0.500, 0.576, 0.748)
Sm (0.500, 0.424, 0.252)
Sm (0.500, 0.748, 0.576)
Sm (0.500, 0.252, 0.424)
Cd (0.000, 0.588, 0.950)
Cd (0.000, 0.412, 0.050)
Cd (0.000, 0.950, 0.588)
Cd (0.000, 0.050, 0.412)
Cd (0.000, 0.631, 0.369)
Cd (0.000, 0.369, 0.631)
Cd (0.000, 0.822, 0.178)
Cd (0.000, 0.178, 0.822)
Cd (0.000, 0.000, 0.000)
Cd (0.000, 0.778, 0.778)
Cd (0.000, 0.222, 0.222)